## Bi4PdRh (GGA-PBE)

Data for a geometry-optimized Bi4PdRh structure.

POSCAR file:
```
Bi4PdRh
1.0
-0.631 -4.685 -0.816
3.223 0.185 -3.550
4.962 -1.440 4.429
Bi Pd Rh
4 1 1
direct
0.501 0.997 0.253
0.501 0.998 0.743
0.001 0.497 0.743
0.001 0.497 0.254
0.501 0.497 0.998
0.001 0.997 0.498
```

Properties
The calculation puts the magnetization at 0.00 Bohr magnetons per cell. As for the space group: P4/mmm. The calculated volume comes out at 26.1 Å³ per atom.

## LaLuTlIr (GGA-PBE)

Data for a geometry-optimized LaLuTlIr structure.

POSCAR file:
```
LaLuTlIr
1.0
-4.027 -3.156 -0.869
-0.021 -4.789 1.998
-3.251 -1.183 3.868
Tl Ir Lu La
1 1 1 1
direct
0.500 0.500 0.500
0.000 0.000 0.000
0.250 0.250 0.250
0.750 0.750 0.750
```

Properties
The calculation puts the magnetization at 0.00 Bohr magnetons per cell. As for the space group: F-43m. The calculated volume comes out at 24.7 Å³ per atom.

## BaLiTlGa (GGA-PBE)

Data for a geometry-optimized BaLiTlGa structure.

POSCAR file:
```
BaLiTlGa
1.0
5.375 0.000 0.000
2.687 4.655 0.000
2.687 1.552 4.388
Tl Ba Ga Li
1 1 1 1
direct
0.500 0.500 0.500
0.000 0.000 0.000
0.250 0.250 0.250
0.750 0.750 0.750
```

Properties
The calculation puts the magnetization at 0.00 Bohr magnetons per cell. As for the space group: F-43m. The calculated volume comes out at 27.4 Å³ per atom.

DFT formation energy, record by record: -0.223, -0.408, -0.221 eV per atom